Arrangement A

Entry from Alexandria via LeMat-Bulk: an optimized crystal structure of TbHoGaPd (GGA-PBE).

```
data_TbHoGaPd
_cell_length_a 4.493
_cell_length_b 3.732
_cell_length_c 11.016
_cell_angle_alpha 90.00
_cell_angle_beta 90.00
_cell_angle_gamma 90.00
_space_group_name_H-M_alt 'A m m 2'
_space_group_IT_number 38
loop_
_space_group_symop_operation_xyz
'x,y,z'
'-x,-y,z'
'-x,y,z'
'x,-y,z'
'x,y+1/2,z+1/2'
'-x,-y+1/2,z+1/2'
'-x,y+1/2,z+1/2'
'x,-y+1/2,z+1/2'
loop_
_atom_site_label
_atom_site_type_symbol
_atom_site_fract_x
_atom_site_fract_y
_atom_site_fract_z
Tb1 Tb 0.000 0.000 0.000
Ho1 Ho 0.500 0.000 0.284
Ga1 Ga 0.000 0.000 0.722
Pd1 Pd 0.500 0.000 0.569
```

- calculated volume (Å³ per atom) = 23.09
- ρ (Mg/m³) = 9.0

***

Arrangement B

Entry from Alexandria via LeMat-Bulk: an optimized crystal structure of TbHoGaPd (GGA-PBE).

```
data_TbHoGaPd
_cell_length_a 7.101
_cell_length_b 7.101
_cell_length_c 7.101
_cell_angle_alpha 90.00
_cell_angle_beta 90.00
_cell_angle_gamma 90.00
_space_group_name_H-M_alt 'F -4 3 m'
_space_group_IT_number 216
_space_group_name_Hall 'F -4 2 3'
loop_
_atom_site_label
_atom_site_type_symbol
_atom_site_fract_x
_atom_site_fract_y
_atom_site_fract_z
Tb1 Tb 0.000 0.000 0.000
Ho1 Ho 0.000 0.000 0.500
Ga1 Ga 0.250 0.250 0.250
Pd1 Pd 0.250 0.250 0.750
```

- calculated volume (Å³ per atom) = 22.38
- ρ (Mg/m³) = 9.3

***

Relative energies, in eV/atom, with the most stable structure set to zero: arrangement A 0.000; arrangement B 0.038.

***

Arrangement A

Entry from Alexandria via LeMat-Bulk: an optimized crystal structure of Pm2HoGa6 (GGA-PBE).

```
data_Pm2HoGa6
_cell_length_a 7.3452
_cell_length_b 7.3452
_cell_length_c 4.2081
_cell_angle_alpha 90.00
_cell_angle_beta 90.00
_cell_angle_gamma 120.00
_space_group_name_H-M_alt 'P 6/m m m'
_space_group_IT_number 191
_space_group_name_Hall '-P 6 2'
loop_
_atom_site_label
_atom_site_type_symbol
_atom_site_fract_x
_atom_site_fract_y
_atom_site_fract_z
Pm1 Pm 0.3333 0.6667 0.0000
Ho1 Ho 0.0000 0.0000 0.0000
Ga1 Ga 0.0000 0.3321 0.5000
```

- calculated volume (Å³ per atom) = 21.85
- ρ (Mg/m³) = 7.4

***

Arrangement B

Entry from Alexandria via LeMat-Bulk: an optimized crystal structure of Pm2HoGa6 (GGA-PBE).

```
data_Pm2HoGa6
_cell_length_a 4.368
_cell_length_b 7.068
_cell_length_c 13.554
_cell_angle_alpha 90.00
_cell_angle_beta 90.00
_cell_angle_gamma 90.00
_space_group_name_H-M_alt 'I m m m'
_space_group_IT_number 71
_space_group_name_Hall '-I 2 2'
loop_
_atom_site_label
_atom_site_type_symbol
_atom_site_fract_x
_atom_site_fract_y
_atom_site_fract_z
Pm1 Pm 0.000 0.000 0.129
Ho1 Ho 0.000 0.500 0.000
Ga1 Ga 0.000 0.188 0.321
Ga2 Ga 0.000 0.307 0.500
```

- calculated volume (Å³ per atom) = 23.25
- ρ (Mg/m³) = 6.9

***

Relative energies, in eV/atom, with the most stable structure set to zero: arrangement A 0.000; arrangement B 0.229.

***

Arrangement A

Entry from Alexandria via LeMat-Bulk: an optimized crystal structure of PmHo2Ga (GGA-PBE).

```
data_PmHo2Ga
_cell_length_a 4.277
_cell_length_b 12.042
_cell_length_c 8.968
_cell_angle_alpha 90.00
_cell_angle_beta 90.00
_cell_angle_gamma 90.00
_space_group_name_H-M_alt 'C m c m'
_space_group_IT_number 63
_space_group_name_Hall '-C 2c 2'
loop_
_atom_site_label
_atom_site_type_symbol
_atom_site_fract_x
_atom_site_fract_y
_atom_site_fract_z
Pm1 Pm 0.000 0.059 0.250
Ho1 Ho 0.000 0.355 0.056
Ga1 Ga 0.000 0.250 0.750
```

- calculated volume (Å³ per atom) = 28.87
- ρ (Mg/m³) = 7.8

***

Arrangement B

Entry from Alexandria via LeMat-Bulk: an optimized crystal structure of PmHo2Ga (GGA-PBE).

```
data_PmHo2Ga
_cell_length_a 3.6071
_cell_length_b 3.6071
_cell_length_c 30.7649
_cell_angle_alpha 90.00
_cell_angle_beta 90.00
_cell_angle_gamma 120.00
_space_group_name_H-M_alt 'R 3 m'
_space_group_IT_number 160
_space_group_name_Hall 'R 3 -2"'
loop_
_atom_site_label
_atom_site_type_symbol
_atom_site_fract_x
_atom_site_fract_y
_atom_site_fract_z
Pm1 Pm 0.0000 0.0000 0.0000
Ho1 Ho 0.0000 0.0000 0.2369
Ho2 Ho 0.0000 0.0000 0.4303
Ga1 Ga 0.0000 0.0000 0.8340
```

- calculated volume (Å³ per atom) = 28.89
- ρ (Mg/m³) = 7.8

***

Relative energies, in eV/atom, with the most stable structure set to zero: arrangement A 0.000; arrangement B 0.053.

***

Arrangement A

Entry from Alexandria via LeMat-Bulk: an optimized crystal structure of PmHoGa (GGA-PBE).

```
data_PmHoGa
_cell_length_a 5.0000
_cell_length_b 5.0000
_cell_length_c 3.7301
_cell_angle_alpha 90.00
_cell_angle_beta 90.00
_cell_angle_gamma 120.00
_space_group_name_H-M_alt 'P 3 m 1'
_space_group_IT_number 156
loop_
_space_group_symop_operation_xyz
'x,y,z'
'-y,x-y,z'
'-x+y,-x,z'
'-y,-x,z'
'-x+y,y,z'
'x,x-y,z'
loop_
_atom_site_label
_atom_site_type_symbol
_atom_site_fract_x
_atom_site_fract_y
_atom_site_fract_z
Pm1 Pm 0.0000 0.0000 0.0000
Ho1 Ho 0.6667 0.3333 0.5387
Ga1 Ga 0.3333 0.6667 0.3435
```

- calculated volume (Å³ per atom) = 26.92
- ρ (Mg/m³) = 7.8

***

Arrangement B

Entry from Alexandria via LeMat-Bulk: an optimized crystal structure of PmHoGa (GGA-PBE).

```
data_PmHoGa
_cell_length_a 7.081
_cell_length_b 7.081
_cell_length_c 7.081
_cell_angle_alpha 90.00
_cell_angle_beta 90.00
_cell_angle_gamma 90.00
_space_group_name_H-M_alt 'F -4 3 m'
_space_group_IT_number 216
_space_group_name_Hall 'F -4 2 3'
loop_
_atom_site_label
_atom_site_type_symbol
_atom_site_fract_x
_atom_site_fract_y
_atom_site_fract_z
Pm1 Pm 0.000 0.000 0.000
Ho1 Ho 0.000 0.000 0.500
Ga1 Ga 0.250 0.250 0.750
```

- calculated volume (Å³ per atom) = 29.59
- ρ (Mg/m³) = 7.1

***

Relative energies, in eV/atom, with the most stable structure set to zero: arrangement A 0.000; arrangement B 0.038.

***

Arrangement A

Entry from Alexandria via LeMat-Bulk: an optimized crystal structure of PmHoGa (GGA-PBE).

```
data_PmHoGa
_cell_length_a 3.705
_cell_length_b 5.259
_cell_length_c 8.475
_cell_angle_alpha 90.02
_cell_angle_beta 102.59
_cell_angle_gamma 90.00
_space_group_name_H-M_alt 'P -1'
_space_group_IT_number 2
loop_
_space_group_symop_operation_xyz
'x,y,z'
'-x,-y,-z'
loop_
_atom_site_label
_atom_site_type_symbol
_atom_site_fract_x
_atom_site_fract_y
_atom_site_fract_z
Pm1 Pm 0.077 0.250 0.152
Ho1 Ho 0.223 0.750 0.446
Ga1 Ga 0.419 0.251 0.839
```

- calculated volume (Å³ per atom) = 26.86
- ρ (Mg/m³) = 7.8

***

Arrangement B

Entry from Alexandria via LeMat-Bulk: an optimized crystal structure of PmHoGa (GGA-PBE).

```
data_PmHoGa
_cell_length_a 3.510
_cell_length_b 3.510
_cell_length_c 13.214
_cell_angle_alpha 90.00
_cell_angle_beta 90.00
_cell_angle_gamma 90.00
_space_group_name_H-M_alt 'I 4 m m'
_space_group_IT_number 107
_space_group_name_Hall 'I 4 -2'
loop_
_atom_site_label
_atom_site_type_symbol
_atom_site_fract_x
_atom_site_fract_y
_atom_site_fract_z
Pm1 Pm 0.000 0.000 0.000
Ho1 Ho 0.000 0.000 0.711
Ga1 Ga 0.000 0.000 0.349
```

- calculated volume (Å³ per atom) = 27.14
- ρ (Mg/m³) = 7.7

***

Arrangement C

Entry from Alexandria via LeMat-Bulk: an optimized crystal structure of PmHoGa (GGA-PBE).

```
data_PmHoGa
_cell_length_a 7.9507
_cell_length_b 7.9507
_cell_length_c 4.4588
_cell_angle_alpha 90.00
_cell_angle_beta 90.00
_cell_angle_gamma 120.00
_space_group_name_H-M_alt 'P -6 2 m'
_space_group_IT_number 189
_space_group_name_Hall 'P -6 -2'
loop_
_atom_site_label
_atom_site_type_symbol
_atom_site_fract_x
_atom_site_fract_y
_atom_site_fract_z
Pm1 Pm 0.0000 0.4002 0.0000
Ho1 Ho 0.0000 0.7341 0.5000
Ga1 Ga 0.0000 0.0000 0.0000
Ga2 Ga 0.3333 0.6667 0.5000
```

- calculated volume (Å³ per atom) = 27.12
- ρ (Mg/m³) = 7.7

***

Relative energies, in eV/atom, with the most stable structure set to zero: arrangement A 0.020; arrangement B 0.050; arrangement C 0.000.

***

Arrangement A

Entry from Alexandria via LeMat-Bulk: an optimized crystal structure of PmHo2Ga6 (GGA-PBE).

```
data_PmHo2Ga6
_cell_length_a 4.325
_cell_length_b 7.071
_cell_length_c 13.210
_cell_angle_alpha 90.00
_cell_angle_beta 90.00
_cell_angle_gamma 90.00
_space_group_name_H-M_alt 'I m m m'
_space_group_IT_number 71
_space_group_name_Hall '-I 2 2'
loop_
_atom_site_label
_atom_site_type_symbol
_atom_site_fract_x
_atom_site_fract_y
_atom_site_fract_z
Pm1 Pm 0.000 0.000 0.000
Ho1 Ho 0.000 0.500 0.126
Ga1 Ga 0.000 0.184 0.500
Ga2 Ga 0.000 0.306 0.315
```

- calculated volume (Å³ per atom) = 22.45
- ρ (Mg/m³) = 7.3

***

Arrangement B

Entry from Alexandria via LeMat-Bulk: an optimized crystal structure of PmHo2Ga6 (GGA-PBE).

```
data_PmHo2Ga6
_cell_length_a 7.3104
_cell_length_b 7.3104
_cell_length_c 4.1512
_cell_angle_alpha 90.00
_cell_angle_beta 90.00
_cell_angle_gamma 120.00
_space_group_name_H-M_alt 'P 6/m m m'
_space_group_IT_number 191
_space_group_name_Hall '-P 6 2'
loop_
_atom_site_label
_atom_site_type_symbol
_atom_site_fract_x
_atom_site_fract_y
_atom_site_fract_z
Pm1 Pm 0.0000 0.0000 0.0000
Ho1 Ho 0.3333 0.6667 0.0000
Ga1 Ga 0.0000 0.3345 0.5000
```

- calculated volume (Å³ per atom) = 21.35
- ρ (Mg/m³) = 7.7

***

Relative energies, in eV/atom, with the most stable structure set to zero: arrangement A 0.156; arrangement B 0.000.

***

Arrangement A

Entry from Alexandria via LeMat-Bulk: an optimized crystal structure of PmHoGaSi (GGA-PBE).

```
data_PmHoGaSi
_cell_length_a 7.175
_cell_length_b 7.175
_cell_length_c 7.175
_cell_angle_alpha 90.00
_cell_angle_beta 90.00
_cell_angle_gamma 90.00
_space_group_name_H-M_alt 'F -4 3 m'
_space_group_IT_number 216
_space_group_name_Hall 'F -4 2 3'
loop_
_atom_site_label
_atom_site_type_symbol
_atom_site_fract_x
_atom_site_fract_y
_atom_site_fract_z
Pm1 Pm 0.000 0.000 0.000
Ho1 Ho 0.000 0.000 0.500
Ga1 Ga 0.250 0.250 0.750
Si1 Si 0.250 0.250 0.250
```

- calculated volume (Å³ per atom) = 23.08
- ρ (Mg/m³) = 7.3

***

Arrangement B

Entry from Alexandria via LeMat-Bulk: an optimized crystal structure of PmHoGaSi (GGA-PBE).

```
data_PmHoGaSi
_cell_length_a 3.990
_cell_length_b 4.353
_cell_length_c 10.888
_cell_angle_alpha 90.00
_cell_angle_beta 90.00
_cell_angle_gamma 90.00
_space_group_name_H-M_alt 'A m m 2'
_space_group_IT_number 38
loop_
_space_group_symop_operation_xyz
'x,y,z'
'-x,-y,z'
'-x,y,z'
'x,-y,z'
'x,y+1/2,z+1/2'
'-x,-y+1/2,z+1/2'
'-x,y+1/2,z+1/2'
'x,-y+1/2,z+1/2'
loop_
_atom_site_label
_atom_site_type_symbol
_atom_site_fract_x
_atom_site_fract_y
_atom_site_fract_z
Pm1 Pm 0.000 0.000 0.000
Ho1 Ho 0.500 0.000 0.719
Ga1 Ga 0.500 0.000 0.430
Si1 Si 0.000 0.000 0.282
```

- calculated volume (Å³ per atom) = 23.64
- ρ (Mg/m³) = 7.2

***

Relative energies, in eV/atom, with the most stable structure set to zero: arrangement A 0.242; arrangement B 0.000.

***

Arrangement A

Entry from Alexandria via LeMat-Bulk: an optimized crystal structure of PrHo3Ga2 (GGA-PBE).

```
data_PrHo3Ga2
_cell_length_a 4.953
_cell_length_b 9.592
_cell_length_c 6.637
_cell_angle_alpha 90.00
_cell_angle_beta 90.00
_cell_angle_gamma 90.00
_space_group_name_H-M_alt 'P m c 21'
_space_group_IT_number 26
loop_
_space_group_symop_operation_xyz
'x,y,z'
'-x,-y,z+1/2'
'-x,y,z'
'x,-y,z+1/2'
loop_
_atom_site_label
_atom_site_type_symbol
_atom_site_fract_x
_atom_site_fract_y
_atom_site_fract_z
Pr1 Pr 0.000 0.050 0.000
Ho1 Ho 0.000 0.326 0.625
Ho2 Ho 0.500 0.189 0.289
Ho3 Ho 0.500 0.446 0.920
Ga1 Ga 0.000 0.364 0.169
Ga2 Ga 0.500 0.143 0.742
```

- calculated volume (Å³ per atom) = 26.28
- ρ (Mg/m³) = 8.2

***

Arrangement B

Entry from Alexandria via LeMat-Bulk: an optimized crystal structure of PrHo3Ga2 (GGA-PBE).

```
data_PrHo3Ga2
_cell_length_a 16.077
_cell_length_b 5.131
_cell_length_c 8.848
_cell_angle_alpha 90.00
_cell_angle_beta 117.18
_cell_angle_gamma 90.00
_space_group_name_H-M_alt 'C 1 2/m 1'
_space_group_IT_number 12
loop_
_space_group_symop_operation_xyz
'x,y,z'
'-x,-y,-z'
'-x,y,-z'
'x,-y,z'
'x+1/2,y+1/2,z'
'-x+1/2,-y+1/2,-z'
'-x+1/2,y+1/2,-z'
'x+1/2,-y+1/2,z'
loop_
_atom_site_label
_atom_site_type_symbol
_atom_site_fract_x
_atom_site_fract_y
_atom_site_fract_z
Pr1 Pr 0.130 0.000 0.189
Ho1 Ho 0.064 0.000 0.717
Ho2 Ho 0.121 0.500 0.510
Ho3 Ho 0.188 0.500 0.989
Ga1 Ga 0.011 0.500 0.150
Ga2 Ga 0.224 0.000 0.615
```

- calculated volume (Å³ per atom) = 27.05
- ρ (Mg/m³) = 7.9

***

Relative energies, in eV/atom, with the most stable structure set to zero: arrangement A 0.000; arrangement B 0.079.